Here is a relaxed structure of Pm2AlGa4Pd3 from the Alexandria database. Energies are from GGA-PBE.

Calculated values
ΔH_f (0 K) ... -7.54 eV/f.u.

a = 4.228 Å, b = 4.228 Å, c = 10.829 Å
α = 90.00°, β = 90.00°, γ = 90.00°
Fractional positions:
1 Pm 0.000 0.500 0.245
2 Pm 0.500 0.000 0.755
3 Al 0.000 0.000 0.500
4 Ga 0.000 0.000 0.000
5 Ga 0.000 0.500 0.641
6 Ga 0.500 0.000 0.359
7 Ga 0.500 0.500 0.000
8 Pd 0.000 0.500 0.869
9 Pd 0.500 0.000 0.131
10 Pd 0.500 0.500 0.500